Entry 1:
## NaMgInPb2 (PBE-GGA)

Data for crystalline NaMgInPb2 at its relaxed geometry.

CIF file:
```
data_NaMgInPb2
_chemical_formula_sum 'Na4 Mg4 In4 Pb8'
_cell_length_a 6.017
_cell_length_b 17.509
_cell_length_c 5.654
_cell_angle_alpha 90.00
_cell_angle_beta 90.00
_cell_angle_gamma 90.00
_symmetry_space_group_name_H-M 'C m m e'
_symmetry_Int_Tables_number 67
_symmetry_space_group_name_Hall '-C 2a 2'
loop_
_atom_site_label
_atom_site_type_symbol
_atom_site_fract_x
_atom_site_fract_y
_atom_site_fract_z
Na1 Na 0.000 0.250 0.169
Mg1 Mg 0.250 0.000 0.500
In1 In 0.000 0.000 0.000
Pb1 Pb 0.000 0.146 0.663
```

**Formation enthalpy at 0 K**: -0.014 eV/atom
**Fermi-level density of states**: 9.6 states/eV per cell

Entry 2:
## NaMgIn4Pd2 (PBE-GGA)

Data for crystalline NaMgIn4Pd2 at its relaxed geometry.

CIF file:
```
data_NaMgIn4Pd2
_chemical_formula_sum 'Na1 Mg1 In4 Pd2'
_cell_length_a 4.207
_cell_length_b 4.207
_cell_length_c 11.540
_cell_angle_alpha 90.00
_cell_angle_beta 90.00
_cell_angle_gamma 90.00
_symmetry_space_group_name_H-M 'P 4/m m m'
_symmetry_Int_Tables_number 123
_symmetry_space_group_name_Hall '-P 4 2'
loop_
_atom_site_label
_atom_site_type_symbol
_atom_site_fract_x
_atom_site_fract_y
_atom_site_fract_z
Na1 Na 0.000 0.000 0.000
Mg1 Mg 0.000 0.000 0.500
In1 In 0.000 0.500 0.232
Pd1 Pd 0.500 0.500 0.387
```

**Formation enthalpy at 0 K**: -0.127 eV/atom
**Fermi-level density of states**: 2.8 states/eV per cell

Entry 3:
## NaMgIn2Pd (PBE-GGA)

Data for crystalline NaMgIn2Pd at its relaxed geometry.

CIF file:
```
data_NaMgIn2Pd
_chemical_formula_sum 'Na1 Mg1 In2 Pd1'
_cell_length_a 5.189
_cell_length_b 5.189
_cell_length_c 5.085
_cell_angle_alpha 90.00
_cell_angle_beta 90.00
_cell_angle_gamma 90.00
_symmetry_space_group_name_H-M 'P 4/m m m'
_symmetry_Int_Tables_number 123
_symmetry_space_group_name_Hall '-P 4 2'
loop_
_atom_site_label
_atom_site_type_symbol
_atom_site_fract_x
_atom_site_fract_y
_atom_site_fract_z
Na1 Na 0.000 0.000 0.000
Mg1 Mg 0.500 0.500 0.000
In1 In 0.000 0.500 0.500
Pd1 Pd 0.500 0.500 0.500
```

**Formation enthalpy at 0 K**: -0.200 eV/atom
**Fermi-level density of states**: 2.7 states/eV per cell

Entry 4:
## NaPrMgIn (PBE-GGA)

Data for crystalline NaPrMgIn at its relaxed geometry.

CIF file:
```
data_NaPrMgIn
_chemical_formula_sum 'Na4 Pr4 Mg4 In4'
_cell_length_a 7.525
_cell_length_b 7.525
_cell_length_c 7.525
_cell_angle_alpha 90.00
_cell_angle_beta 90.00
_cell_angle_gamma 90.00
_symmetry_space_group_name_H-M 'F -4 3 m'
_symmetry_Int_Tables_number 216
_symmetry_space_group_name_Hall 'F -4 2 3'
loop_
_atom_site_label
_atom_site_type_symbol
_atom_site_fract_x
_atom_site_fract_y
_atom_site_fract_z
Na1 Na 0.000 0.000 0.000
Pr1 Pr 0.250 0.250 0.250
Mg1 Mg 0.250 0.250 0.750
In1 In 0.000 0.000 0.500
```

**Formation enthalpy at 0 K**: -0.172 eV/atom
**Fermi-level density of states**: 11.1 states/eV per cell

Entry 5:
## NaMg2InPt (PBE-GGA)

Data for crystalline NaMg2InPt at its relaxed geometry.

CIF file:
```
data_NaMg2InPt
_chemical_formula_sum 'Na1 Mg2 In1 Pt1'
_cell_length_a 5.100
_cell_length_b 5.100
_cell_length_c 5.175
_cell_angle_alpha 90.00
_cell_angle_beta 90.00
_cell_angle_gamma 90.00
_symmetry_space_group_name_H-M 'P 4/m m m'
_symmetry_Int_Tables_number 123
_symmetry_space_group_name_Hall '-P 4 2'
loop_
_atom_site_label
_atom_site_type_symbol
_atom_site_fract_x
_atom_site_fract_y
_atom_site_fract_z
Na1 Na 0.000 0.000 0.000
Mg1 Mg 0.000 0.500 0.500
In1 In 0.500 0.500 0.000
Pt1 Pt 0.500 0.500 0.500
```

**Formation enthalpy at 0 K**: -0.324 eV/atom
**Fermi-level density of states**: 2.0 states/eV per cell

Entry 6:
## NaMg2InRh (PBE-GGA)

Data for crystalline NaMg2InRh at its relaxed geometry.

CIF file:
```
data_NaMg2InRh
_chemical_formula_sum 'Na1 Mg2 In1 Rh1'
_cell_length_a 5.024
_cell_length_b 5.024
_cell_length_c 5.149
_cell_angle_alpha 90.00
_cell_angle_beta 90.00
_cell_angle_gamma 90.00
_symmetry_space_group_name_H-M 'P 4/m m m'
_symmetry_Int_Tables_number 123
_symmetry_space_group_name_Hall '-P 4 2'
loop_
_atom_site_label
_atom_site_type_symbol
_atom_site_fract_x
_atom_site_fract_y
_atom_site_fract_z
Na1 Na 0.000 0.000 0.000
Mg1 Mg 0.000 0.500 0.500
In1 In 0.500 0.500 0.000
Rh1 Rh 0.500 0.500 0.500
```

**Formation enthalpy at 0 K**: -0.197 eV/atom
**Fermi-level density of states**: 2.0 states/eV per cell